This record from Alexandria describes crystalline VRuI2O at its relaxed geometry. The functional is PBE+U.

## Properties
Energy ... -22.0 eV/cell
Size of the total moment ... 0.03 μB/f.u.

Cell lengths 5.531, 5.531, 3.731 Å; angles 90.00, 90.00, 90.00 degrees
Site moments in Bohr magnetons follow the coordinates.
Element x y z (fractional)
V  0.500  0.500  0.500  -0.05
I  0.500  0.000  0.000  0.01
O  0.000  0.000  0.500  0.01
I  0.000  0.500  0.000  0.01
Ru  0.000  0.000  0.000  0.04